1.
Computed, not measured: Sm4DyTm2Mg after structural relaxation at the PBE level of DFT.

a b c (Å): 5.0240 5.0287 11.0858
angles (deg): 63.02 90.00 90.00
Last column: nearest neighbours and their distance in Å.
Sites, in units of the cell vectors:
Mg: 0.5000 0.5000 0.0000  8 Sm 3.49-3.50, 4 Tm 3.55
Dy: 0.0000 0.5000 0.5000  8 Sm 3.55, 4 Tm 3.55
Tm: 0.0000 0.0000 0.0000  8 Sm 3.49, 4 Mg 3.55
Tm: 0.5000 0.0000 0.5000  8 Sm 3.55-3.56, 4 Dy 3.55
Sm: 0.0000 0.2542 0.2457  2 Mg 3.49, 4 Tm 3.49-3.55, 4 Sm 3.55-3.56, 2 Dy 3.55
Sm: 0.5000 0.2462 0.7543  2 Mg 3.49-3.50, 4 Tm 3.49-3.56, 4 Sm 3.55-3.56, 2 Dy 3.55
Sm: 0.5000 0.7538 0.2457  2 Mg 3.49-3.50, 4 Tm 3.49-3.56, 4 Sm 3.55-3.56, 2 Dy 3.55
Sm: 0.0000 0.7458 0.7543  2 Mg 3.49, 4 Tm 3.49-3.55, 4 Sm 3.55-3.56, 2 Dy 3.55

Computed properties:
SG: P4/mmm
D(E_F) (states/eV/atom): 1.3289
Size of the total moment (Bohr magnetons per cell): 0.000
Energy of formation (meV/atom): 10



2.
Computed, not measured: Sm2Dy6Tm3Mg after structural relaxation at the PBE level of DFT.

a b c (Å): 6.0957 6.0957 11.6627
angles (deg): 95.02 95.02 120.05
Last column: nearest neighbours and their distance in Å.
Sites, in units of the cell vectors:
Dy: 0.4155 0.0835 0.2521  3 Tm 3.49-3.51, 6 Dy 3.51-3.53, 1 Mg 3.53, 2 Sm 3.54
Dy: 0.2487 0.2487 0.7470  3 Tm 3.48-3.49, 6 Dy 3.51-3.53, 2 Sm 3.54, 1 Mg 3.55
Dy: 0.0835 0.4155 0.2521  3 Tm 3.49-3.51, 6 Dy 3.51-3.53, 1 Mg 3.53, 2 Sm 3.54
Dy: 0.9165 0.5845 0.7479  3 Tm 3.49-3.51, 6 Dy 3.51-3.53, 1 Mg 3.53, 2 Sm 3.54
Dy: 0.5845 0.9165 0.7479  3 Tm 3.49-3.51, 6 Dy 3.51-3.53, 1 Mg 3.53, 2 Sm 3.54
Dy: 0.7513 0.7513 0.2530  3 Tm 3.48-3.49, 6 Dy 3.51-3.53, 2 Sm 3.54, 1 Mg 3.55
Sm: 0.6664 0.3336 0.0000  3 Sm 3.51-3.52, 3 Mg 3.52, 6 Dy 3.54
Sm: 0.3336 0.6664 0.0000  3 Sm 3.51-3.52, 3 Mg 3.52, 6 Dy 3.54
Tm: 0.1657 0.8343 0.5000  6 Dy 3.48-3.51, 6 Tm 3.50-3.53
Tm: 0.5000 0.5000 0.5000  6 Dy 3.49, 6 Tm 3.51-3.53
Tm: 0.8343 0.1657 0.5000  6 Dy 3.48-3.51, 6 Tm 3.50-3.53
Mg: 0.0000 0.0000 0.0000  6 Sm 3.52, 6 Dy 3.53-3.55

Computed properties:
SG: C2/m
D(E_F) (states/eV/atom): 1.3689
Size of the total moment (Bohr magnetons per cell): 0.000
Energy of formation (meV/atom): 23



3.
Computed, not measured: Sm6Dy2Tm3Mg after structural relaxation at the PBE level of DFT.

a b c (Å): 6.1641 6.1641 11.6785
angles (deg): 95.06 95.06 120.03
Last column: nearest neighbours and their distance in Å.
Sites, in units of the cell vectors:
Mg: 0.0000 0.0000 0.0000  6 Sm 3.53-3.55, 6 Dy 3.56
Tm: 0.1663 0.8337 0.5000  6 Sm 3.52-3.53, 6 Tm 3.55-3.56
Tm: 0.8337 0.1663 0.5000  6 Sm 3.52-3.53, 6 Tm 3.55-3.56
Tm: 0.5000 0.5000 0.5000  6 Sm 3.52-3.53, 6 Tm 3.56
Sm: 0.9170 0.5844 0.7497  3 Tm 3.53, 1 Mg 3.53, 2 Dy 3.54, 6 Sm 3.55-3.56
Sm: 0.4156 0.0830 0.2503  3 Tm 3.53, 1 Mg 3.53, 2 Dy 3.54, 6 Sm 3.55-3.56
Sm: 0.0830 0.4156 0.2503  3 Tm 3.53, 1 Mg 3.53, 2 Dy 3.54, 6 Sm 3.55-3.56
Sm: 0.2498 0.2498 0.7486  3 Tm 3.52, 2 Dy 3.54, 1 Mg 3.55, 6 Sm 3.55-3.56
Sm: 0.7502 0.7502 0.2514  3 Tm 3.52, 2 Dy 3.54, 1 Mg 3.55, 6 Sm 3.55-3.56
Sm: 0.5844 0.9170 0.7497  3 Tm 3.53, 1 Mg 3.53, 2 Dy 3.54, 6 Sm 3.55-3.56
Dy: 0.6665 0.3335 0.0000  6 Sm 3.54, 3 Dy 3.56, 3 Mg 3.56
Dy: 0.3335 0.6665 0.0000  6 Sm 3.54, 3 Dy 3.56, 3 Mg 3.56

Computed properties:
SG: C2/m
D(E_F) (states/eV/atom): 1.0774
Size of the total moment (Bohr magnetons per cell): 0.000
Energy of formation (meV/atom): 22



4.
Computed, not measured: SmDy4Tm2Mg after structural relaxation at the PBE level of DFT.

a b c (Å): 5.7164 9.4092 5.7142
angles (deg): 52.62 90.00 90.00
Last column: nearest neighbours and their distance in Å.
Sites, in units of the cell vectors:
Dy: 0.0000 0.7479 0.7520  2 Mg 3.40-3.41, 2 Sm 3.41, 4 Tm 3.42, 2 Dy 3.71-3.77
Dy: 0.5000 0.2522 0.7475  2 Sm 3.40-3.41, 2 Mg 3.41, 4 Tm 3.42-3.43, 2 Dy 3.71-3.77
Dy: 0.5000 0.7478 0.2525  2 Sm 3.40-3.41, 2 Mg 3.41, 4 Tm 3.42-3.43, 2 Dy 3.71-3.77
Dy: 0.0000 0.2521 0.2480  2 Mg 3.40-3.41, 2 Sm 3.41, 4 Tm 3.42, 2 Dy 3.71-3.77
Tm: 0.0000 0.0000 0.0000  8 Dy 3.42, 2 Mg 3.74
Tm: 0.5000 0.0000 0.5000  8 Dy 3.42-3.43, 2 Sm 3.74
Mg: 0.0000 0.5000 0.5000  8 Dy 3.40-3.41, 2 Tm 3.74
Sm: 0.5000 0.5000 0.0000  8 Dy 3.40-3.41, 2 Tm 3.74

Computed properties:
SG: P4/mmm
D(E_F) (states/eV/atom): 1.7665
Size of the total moment (Bohr magnetons per cell): 0.002
Energy of formation (meV/atom): 90



5.
Computed, not measured: Sm6Dy2TmMg after structural relaxation at the PBE level of DFT.

a b c (Å): 9.4729 8.7836 8.7836
angles (deg): 116.85 93.80 93.80
Last column: nearest neighbours and their distance in Å.
Sites, in units of the cell vectors:
Sm: 0.4484 0.2346 0.8740  1 Dy 3.43, 7 Sm 3.46-3.76, 2 Tm 3.56-3.79
Sm: 0.8881 0.2916 0.5004  3 Dy 3.16-3.41, 3 Sm 3.32-3.46, 2 Mg 3.37-3.45
Sm: 0.3881 0.5004 0.2916  3 Dy 3.16-3.41, 3 Sm 3.32-3.46, 2 Mg 3.37-3.45
Sm: 0.1119 0.7084 0.4996  3 Dy 3.16-3.41, 3 Sm 3.32-3.46, 2 Mg 3.37-3.45
Sm: 0.5516 0.7654 0.1260  1 Dy 3.43, 7 Sm 3.46-3.76, 2 Tm 3.56-3.79
Sm: 0.3064 0.9975 0.4330  4 Sm 3.32-3.65, 1 Mg 3.35, 1 Dy 3.39, 1 Tm 3.54
Sm: 0.0516 0.1260 0.7654  1 Dy 3.43, 7 Sm 3.46-3.76, 2 Tm 3.56-3.79
Sm: 0.9484 0.8740 0.2346  1 Dy 3.43, 7 Sm 3.46-3.76, 2 Tm 3.56-3.79
Sm: 0.1936 0.5670 0.0025  4 Sm 3.32-3.65, 1 Mg 3.35, 1 Dy 3.39, 1 Tm 3.54
Sm: 0.6936 0.0025 0.5670  4 Sm 3.32-3.65, 1 Mg 3.35, 1 Dy 3.39, 1 Tm 3.54
Sm: 0.6119 0.4996 0.7084  3 Dy 3.16-3.41, 3 Sm 3.32-3.46, 2 Mg 3.37-3.45
Sm: 0.8064 0.4330 0.9975  4 Sm 3.32-3.65, 1 Mg 3.35, 1 Dy 3.39, 1 Tm 3.54
Dy: 0.4503 0.7983 0.6975  5 Sm 3.16-3.43, 2 Tm 3.36-3.46, 1 Mg 3.48
Dy: 0.5497 0.2017 0.3025  5 Sm 3.16-3.43, 2 Tm 3.36-3.46, 1 Mg 3.48
Dy: 0.0497 0.3025 0.2017  5 Sm 3.16-3.43, 2 Tm 3.36-3.46, 1 Mg 3.48
Dy: 0.9503 0.6975 0.7983  5 Sm 3.16-3.43, 2 Tm 3.36-3.46, 1 Mg 3.48
Mg: 0.7500 0.5893 0.4107  6 Sm 3.35-3.45, 2 Dy 3.48
Mg: 0.2500 0.4107 0.5893  6 Sm 3.35-3.45, 2 Dy 3.48
Tm: 0.2500 0.9780 0.0220  4 Dy 3.36-3.46, 4 Sm 3.54-3.56
Tm: 0.7500 0.0220 0.9780  4 Dy 3.36-3.46, 4 Sm 3.54-3.56

Computed properties:
SG: C2/c
D(E_F) (states/eV/atom): 1.2857
Size of the total moment (Bohr magnetons per cell): 0.000
Energy of formation (meV/atom): 120



6.
Computed, not measured: Sm2DyY2Mg5 after structural relaxation at the PBE level of DFT.

a b c (Å): 5.0960 10.6400 10.6400
angles (deg): 90.00 90.00 90.00
Last column: nearest neighbours and their distance in Å.
Sites, in units of the cell vectors:
Mg: 0.5000 0.5000 0.0000  4 Sm 3.14, 4 Mg 3.36
Mg: 0.5000 0.8067 0.9261  3 Mg 3.11-3.36, 2 Sm 3.26, 2 Dy 3.37
Mg: 0.5000 0.5739 0.6933  3 Mg 3.11-3.36, 2 Sm 3.26, 2 Dy 3.37
Mg: 0.5000 0.4261 0.3067  3 Mg 3.11-3.36, 2 Sm 3.26, 2 Dy 3.37
Mg: 0.5000 0.1933 0.0739  3 Mg 3.11-3.36, 2 Sm 3.26, 2 Dy 3.37
Mg: 0.5000 0.0739 0.8067  3 Mg 3.11-3.36, 2 Sm 3.26, 2 Dy 3.37
Mg: 0.5000 0.9261 0.1933  3 Mg 3.11-3.36, 2 Sm 3.26, 2 Dy 3.37
Mg: 0.5000 0.6933 0.4261  3 Mg 3.11-3.36, 2 Sm 3.26, 2 Dy 3.37
Mg: 0.5000 0.3067 0.5739  3 Mg 3.11-3.36, 2 Sm 3.26, 2 Dy 3.37
Mg: 0.5000 0.0000 0.5000  4 Sm 3.14, 4 Mg 3.36
Sm: 0.0000 0.3781 0.1219  3 Y 3.03-3.23, 6 Mg 3.14-3.26
Sm: 0.0000 0.8781 0.3781  3 Y 3.03-3.23, 6 Mg 3.14-3.26
Sm: 0.0000 0.1219 0.6219  3 Y 3.03-3.23, 6 Mg 3.14-3.26
Sm: 0.0000 0.6219 0.8781  3 Y 3.03-3.23, 6 Mg 3.14-3.26
Dy: 0.0000 0.5000 0.5000  8 Mg 3.37
Dy: 0.0000 0.0000 0.0000  8 Mg 3.37
Y: 0.0000 0.3232 0.8232  3 Sm 3.03-3.23
Y: 0.0000 0.1768 0.3232  3 Sm 3.03-3.23
Y: 0.0000 0.8232 0.6768  3 Sm 3.03-3.23
Y: 0.0000 0.6768 0.1768  3 Sm 3.03-3.23

Computed properties:
SG: P4/mbm
D(E_F) (states/eV/atom): 0.8058
Size of the total moment (Bohr magnetons per cell): 0.000
Energy of formation (meV/atom): 83



7.
Computed, not measured: SmDy6Y2Mg after structural relaxation at the PBE level of DFT.

a b c (Å): 6.6347 10.8842 10.8842
angles (deg): 125.26 85.42 85.42
Last column: nearest neighbours and their distance in Å.
Sites, in units of the cell vectors:
Dy: 0.2194 0.5670 0.0833  6 Dy 3.35-3.59, 2 Mg 3.37, 1 Y 3.52
Dy: 0.5237 0.5241 0.7014  1 Mg 3.24, 3 Dy 3.43-3.53, 4 Y 3.44-3.62
Dy: 0.7806 0.4330 0.9167  6 Dy 3.35-3.59, 2 Mg 3.37, 1 Y 3.52
Dy: 0.9763 0.2986 0.4759  1 Mg 3.24, 3 Dy 3.43-3.53, 4 Y 3.44-3.62
Dy: 0.4763 0.4759 0.2986  1 Mg 3.24, 3 Dy 3.43-3.53, 4 Y 3.44-3.62
Dy: 0.9645 0.9179 0.2086  2 Sm 3.23-3.42, 1 Mg 3.30, 5 Dy 3.31-3.45, 1 Y 3.48
Dy: 0.4645 0.2086 0.9179  2 Sm 3.23-3.42, 1 Mg 3.30, 5 Dy 3.31-3.45, 1 Y 3.48
Dy: 0.7194 0.0833 0.5670  6 Dy 3.35-3.59, 2 Mg 3.37, 1 Y 3.52
Dy: 0.2806 0.9167 0.4330  6 Dy 3.35-3.59, 2 Mg 3.37, 1 Y 3.52
Dy: 0.5355 0.7914 0.0821  2 Sm 3.23-3.42, 1 Mg 3.30, 5 Dy 3.31-3.45, 1 Y 3.48
Dy: 0.0237 0.7014 0.5241  1 Mg 3.24, 3 Dy 3.43-3.53, 4 Y 3.44-3.62
Dy: 0.0355 0.0821 0.7914  2 Sm 3.23-3.42, 1 Mg 3.30, 5 Dy 3.31-3.45, 1 Y 3.48
Sm: 0.2500 0.9904 0.0096  4 Dy 3.23-3.42, 2 Sm 3.34, 2 Y 3.40
Sm: 0.7500 0.0096 0.9904  4 Dy 3.23-3.42, 2 Sm 3.34, 2 Y 3.40
Y: 0.0066 0.6519 0.8167  2 Sm 3.40-3.63, 7 Dy 3.44-3.63, 1 Mg 3.55
Y: 0.5066 0.8167 0.6519  2 Sm 3.40-3.63, 7 Dy 3.44-3.63, 1 Mg 3.55
Y: 0.4934 0.1833 0.3481  2 Sm 3.40-3.63, 7 Dy 3.44-3.63, 1 Mg 3.55
Y: 0.9934 0.3481 0.1833  2 Sm 3.40-3.63, 7 Dy 3.44-3.63, 1 Mg 3.55
Mg: 0.7500 0.7067 0.2933  8 Dy 3.24-3.37, 2 Y 3.55
Mg: 0.2500 0.2933 0.7067  8 Dy 3.24-3.37, 2 Y 3.55

Computed properties:
SG: C2/c
D(E_F) (states/eV/atom): 1.5768
Size of the total moment (Bohr magnetons per cell): 0.004
Energy of formation (meV/atom): 113



8.
Computed, not measured: Sm2DyYMg after structural relaxation at the PBE level of DFT.

a b c (Å): 7.0818 7.5869 5.9454
angles (deg): 90.00 90.00 90.00
Last column: nearest neighbours and their distance in Å.
Sites, in units of the cell vectors:
Sm: 0.3050 0.2879 0.2500  1 Y 3.12, 1 Sm 3.22, 2 Mg 3.41
Sm: 0.3050 0.7121 0.2500  1 Y 3.12, 1 Sm 3.22, 2 Mg 3.41
Sm: 0.6950 0.7121 0.7500  1 Y 3.12, 1 Sm 3.22, 2 Mg 3.41
Sm: 0.6950 0.2879 0.7500  1 Y 3.12, 1 Sm 3.22, 2 Mg 3.41
Dy: 0.1580 0.5000 0.7500  6 Sm 3.54-3.65, 2 Dy 3.72
Dy: 0.8420 0.5000 0.2500  6 Sm 3.54-3.65, 2 Dy 3.72
Y: 0.6205 0.0000 0.2500  2 Mg 3.07, 2 Sm 3.12, 2 Y 3.43
Y: 0.3795 0.0000 0.7500  2 Mg 3.07, 2 Sm 3.12, 2 Y 3.43
Mg: 0.0000 0.0000 0.5000  2 Mg 2.97, 2 Y 3.07
Mg: 0.0000 0.0000 0.0000  2 Mg 2.97, 2 Y 3.07

Computed properties:
SG: Pmma
D(E_F) (states/eV/atom): 1.4559
Size of the total moment (Bohr magnetons per cell): 0.000
Energy of formation (meV/atom): 175



9.
Computed, not measured: Sm2Dy2YMg2 after structural relaxation at the PBE level of DFT.

a b c (Å): 5.4736 5.4736 8.6643
angles (deg): 71.59 71.59 60.00
Last column: nearest neighbours and their distance in Å.
Sites, in units of the cell vectors:
Dy: 0.4266 0.4266 0.7201  4 Mg 3.30-3.39, 3 Sm 3.51, 1 Dy 3.55
Dy: 0.5734 0.5734 0.2799  4 Mg 3.30-3.39, 3 Sm 3.51, 1 Dy 3.55
Sm: 0.1560 0.1560 0.5321  3 Sm 3.20, 1 Mg 3.25, 3 Dy 3.51
Sm: 0.8440 0.8440 0.4679  3 Sm 3.20, 1 Mg 3.25, 3 Dy 3.51
Mg: 0.7097 0.7097 0.8710  1 Sm 3.25, 4 Dy 3.30-3.39, 3 Y 3.33
Mg: 0.2903 0.2903 0.1290  1 Sm 3.25, 4 Dy 3.30-3.39, 3 Y 3.33
Y: 0.0000 0.0000 0.0000  6 Mg 3.33

Computed properties:
SG: R-3m
D(E_F) (states/eV/atom): 1.0786
Size of the total moment (Bohr magnetons per cell): 0.000
Energy of formation (meV/atom): -24



10.
Computed, not measured: SmDy2Y2Mg2 after structural relaxation at the PBE level of DFT.

a b c (Å): 5.4799 5.4799 8.6233
angles (deg): 71.47 71.47 60.00
Last column: nearest neighbours and their distance in Å.
Sites, in units of the cell vectors:
Y: 0.1555 0.1555 0.5336  3 Y 3.21, 1 Mg 3.21, 3 Dy 3.49
Y: 0.8445 0.8445 0.4664  3 Y 3.21, 1 Mg 3.21, 3 Dy 3.49
Mg: 0.7110 0.7110 0.8671  1 Y 3.21, 4 Dy 3.33-3.38, 3 Sm 3.34
Mg: 0.2890 0.2890 0.1329  1 Y 3.21, 4 Dy 3.33-3.38, 3 Sm 3.34
Dy: 0.4273 0.4273 0.7182  4 Mg 3.33-3.38, 3 Y 3.49, 1 Dy 3.50
Dy: 0.5727 0.5727 0.2818  4 Mg 3.33-3.38, 3 Y 3.49, 1 Dy 3.50
Sm: 0.0000 0.0000 0.0000  6 Mg 3.34

Computed properties:
SG: R-3m
D(E_F) (states/eV/atom): 1.1372
Size of the total moment (Bohr magnetons per cell): 0.000
Energy of formation (meV/atom): -24